# 1
Density functional theory data (PBE) for an optimized crystal structure of InTc2Br.

The raw formation energy comes out at 0.72 eV per atom. Its density of states at the Fermi level is 9.078 states/eV/cell. The energy above the lowest structure with this stoichiometry comes out at 0.572 eV per atom. As for the raw total energy: -5.564 eV/atom. The value obtained for the total moment is 0.00 Bohr magnetons per cell.

The space group is C2/m (No. 12) and the conventional cell measures 8.766, 3.008 and 5.596 Å, with angles of 90.00, 103.31 and 90.00 degrees. The distinct sites, in fractional coordinates, are In at (0.000, 0.000, 0.000), Tc at (0.248, 0.500, 0.298) and Br at (0.000, 0.500, 0.500).

# 2
Density functional theory data (PBE) for an optimized crystal structure of In2TcBr.

The raw formation energy comes out at 0.60 eV per atom. Its density of states at the Fermi level is 1.975 states/eV/cell. The energy above the lowest structure with this stoichiometry comes out at 0.509 eV per atom. As for the raw total energy: -3.775 eV/atom. The value obtained for the total moment is 3.02 Bohr magnetons per cell.

The space group is Pmmm (No. 47) and the conventional cell measures 3.241, 5.282 and 5.501 Å, with angles of 90.00, 90.00 and 90.00 degrees. The distinct sites, in fractional coordinates, are In at (0.000, 0.000, 0.000), In at (0.500, 0.000, 0.500), Tc at (0.000, 0.500, 0.500) and Br at (0.500, 0.500, 0.000).

# 3
Density functional theory data (PBE) for an optimized crystal structure of InTc2Br.

The raw formation energy comes out at 0.79 eV per atom. Its density of states at the Fermi level is 5.609 states/eV/cell. The energy above the lowest structure with this stoichiometry comes out at 0.638 eV per atom. As for the raw total energy: -5.499 eV/atom. The value obtained for the total moment is 0.00 Bohr magnetons per cell.

The space group is P4/mmm (No. 123) and the conventional cell measures 3.176, 3.176 and 6.690 Å, with angles of 90.00, 90.00 and 90.00 degrees. The distinct sites, in fractional coordinates, are In at (0.000, 0.000, 0.000), Tc at (0.500, 0.500, 0.261) and Br at (0.000, 0.000, 0.500).

# 4
Density functional theory data (PBE) for an optimized crystal structure of In2TcBr.

The raw formation energy comes out at 0.23 eV per atom. Its density of states at the Fermi level is 6.889 states/eV/cell. The energy above the lowest structure with this stoichiometry comes out at 0.133 eV per atom. As for the raw total energy: -4.151 eV/atom. The value obtained for the total moment is 0.00 Bohr magnetons per cell.

The space group is Imm2 (No. 44) and the conventional cell measures 3.118, 4.647 and 13.693 Å, with angles of 90.00, 90.00 and 90.00 degrees. The distinct sites, in fractional coordinates, are In at (0.000, 0.000, 0.000), In at (0.000, 0.500, 0.165), Tc at (0.000, 0.500, 0.685) and Br at (0.000, 0.000, 0.334).

# 5
Density functional theory data (PBE) for an optimized crystal structure of InTc3Br.

The raw formation energy comes out at 2.25 eV per atom. Its density of states at the Fermi level is 4.758 states/eV/cell. The energy above the lowest structure with this stoichiometry comes out at 0.857 eV per atom. As for the raw total energy: -4.849 eV/atom. The value obtained for the total moment is 10.30 Bohr magnetons per cell.

The space group is Pm-3m (No. 221) and the conventional cell measures 5.175, 5.175 and 5.175 Å, with angles of 90.00, 90.00 and 90.00 degrees. The distinct sites, in fractional coordinates, are In at (0.000, 0.000, 0.000), Tc at (0.000, 0.000, 0.500) and Br at (0.500, 0.500, 0.500).

# 6
Density functional theory data (PBE) for an optimized crystal structure of In2TcBr.

The raw formation energy comes out at 0.23 eV per atom. Its density of states at the Fermi level is 5.440 states/eV/cell. The energy above the lowest structure with this stoichiometry comes out at 0.133 eV per atom. As for the raw total energy: -4.151 eV/atom. The value obtained for the total moment is 0.45 Bohr magnetons per cell.

The space group is Cm (No. 8) and the conventional cell measures 10.610, 3.085 and 6.332 Å, with angles of 90.00, 114.56 and 90.00 degrees. The distinct sites, in fractional coordinates, are In at (0.000, 0.000, 0.000), In at (0.156, 0.000, 0.602), Tc at (0.232, 0.500, 0.004) and Br at (0.342, 0.000, 0.349).